GGA-PBE BaHf2Se4, optimized geometry; ρ = 7.5 g/cm3; SG = Cmcm; uncorrected formation energy = -135.5 kJ per mole of atoms
1.0
2.062 -6.418 0.000
2.062 6.418 0.000
0.000 0.000 13.515
Ba Hf Se
2 4 8
Cartesian
2.062 4.904 10.136 Ba
2.062 -4.904 3.379 Ba
2.062 1.532 7.557 Hf
2.062 1.532 12.716 Hf
2.062 -1.532 0.799 Hf
2.062 -1.532 5.958 Hf
0.000 0.000 0.000 Se
0.000 0.000 6.758 Se
2.062 3.076 1.415 Se
2.062 3.076 5.343 Se
2.062 0.967 10.136 Se
2.062 -0.967 3.379 Se
2.062 -3.076 8.172 Se
2.062 -3.076 12.101 Se